Entry 1:
# Cs3LiBr4

A PBEsol-optimized structure of Cs3LiBr4 (meta-GGA SCAN, Alexandria via LeMat-Bulk).

Structure (extended XYZ):
```
16
Lattice="-3.934 6.765 -1.174 -7.843 -4.506 0.318 1.391 2.309 8.640" Properties=species:S:1:pos:R:3 pbc="T T T"
Br -4.191 5.064 7.974
Br -2.449 7.102 4.373
Br -5.494 -1.703 0.019
Br -8.245 1.244 8.129
Br -8.639 -1.329 3.202
Br -0.174 -0.059 0.242
Br -5.266 2.259 3.993
Br -3.154 -1.074 4.378
Cs -8.108 2.549 1.858
Cs -3.869 4.842 2.059
Cs -7.161 4.085 6.331
Cs -3.403 0.787 1.400
Cs -6.341 -0.579 5.778
Cs -2.279 2.018 5.926
Li -7.784 -2.046 0.964
Li -2.602 6.613 6.820
```

Properties
The calculation puts the spin magnetization at 0.0 μB/f.u.

Entry 2:
# Cs2LiMoBr6

A PBEsol-optimized structure of Cs2LiMoBr6 (meta-GGA SCAN, Alexandria via LeMat-Bulk).

Structure (extended XYZ):
```
10
Lattice="-7.370 0.257 -1.440 -4.680 -4.713 3.512 -4.755 2.608 5.200" Properties=species:S:1:pos:R:3 pbc="T T T"
Cs -4.201 -0.462 1.818
Cs -12.603 -1.387 5.454
Br -10.317 1.025 3.700
Br -8.934 -1.532 6.248
Br -6.487 -2.874 3.572
Br -10.279 -2.742 2.831
Br -6.526 0.893 4.441
Br -7.871 -0.317 1.025
Li -8.402 -0.924 3.636
Mo 0.000 0.000 0.000
```

Properties
The calculation puts the spin magnetization at 3.0 μB/f.u.

Per-record formation energy without anion corrections, eV/atom: -1.88, -1.46